HfTlIn2: optimized geometry, PBE.

Output
- symmetry = No. 166
- energy (eV per atom) = -4.14

Unit cell a=3.2123 b=3.2123 c=12.4175 alpha=82.57 beta=82.57 gamma=60.00
Atoms (fractional coordinates):
Tl 0.5000 0.5000 0.5000
Hf 0.0000 0.0000 0.0000
In 0.0814 0.0814 0.7558
In 0.9186 0.9186 0.2442